# Ba3Au5Cl12

A geometry-optimized Ba3Au5Cl12 structure (PBE-GGA, Alexandria).

Output
Space-group type = Ia-3d
ΔE_f (raw) = -21.949 eV/f.u.
ρ = 5.13 g cm⁻³
Total magnetization = 0.0 Bohr magnetons per cell
Crystal system = cubic

a = 14.522 Å, b = 14.522 Å, c = 14.522 Å
α = 109.47°, β = 109.47°, γ = 109.47°
Fractional positions:
Cl 0.175 0.085 0.709
Cl 0.533 0.209 0.123
Cl 0.675 0.467 0.590
Cl 0.623 0.590 0.915
Cl 0.910 0.825 0.533
Cl 0.825 0.915 0.291
Cl 0.415 0.123 0.590
Cl 0.791 0.467 0.377
Cl 0.175 0.090 0.967
Cl 0.209 0.533 0.623
Cl 0.033 0.410 0.825
Cl 0.377 0.410 0.085
Cl 0.291 0.415 0.825
Cl 0.967 0.377 0.291
Cl 0.585 0.877 0.410
Cl 0.410 0.033 0.325
Cl 0.910 0.085 0.877
Cl 0.623 0.033 0.209
Cl 0.709 0.585 0.175
Cl 0.877 0.585 0.910
Cl 0.090 0.175 0.467
Cl 0.967 0.590 0.175
Cl 0.090 0.915 0.123
Cl 0.791 0.325 0.915
Cl 0.915 0.825 0.791
Cl 0.410 0.377 0.585
Cl 0.085 0.910 0.377
Cl 0.123 0.415 0.090
Cl 0.033 0.623 0.709
Cl 0.590 0.623 0.415
Cl 0.915 0.090 0.623
Cl 0.709 0.123 0.033
Cl 0.325 0.791 0.415
Cl 0.209 0.675 0.085
Cl 0.467 0.791 0.877
Cl 0.467 0.675 0.090
Cl 0.377 0.967 0.791
Cl 0.590 0.967 0.675
Cl 0.085 0.175 0.209
Cl 0.123 0.709 0.533
Cl 0.825 0.910 0.033
Cl 0.585 0.709 0.675
Cl 0.533 0.325 0.910
Cl 0.675 0.209 0.585
Cl 0.291 0.877 0.967
Cl 0.877 0.291 0.467
Cl 0.325 0.533 0.410
Cl 0.415 0.291 0.325
Au 0.875 0.250 0.625
Au 0.000 0.500 0.500
Au 0.500 0.500 0.000
Au 0.875 0.625 0.750
Au 0.250 0.375 0.625
Au 0.125 0.375 0.250
Au 0.750 0.125 0.875
Au 0.000 0.000 0.000
Au 0.625 0.875 0.250
Au 0.500 0.000 0.000
Au 0.375 0.250 0.125
Au 0.500 0.000 0.500
Au 0.750 0.625 0.375
Au 0.000 0.500 0.000
Au 0.625 0.750 0.875
Au 0.375 0.125 0.750
Au 0.500 0.500 0.500
Au 0.250 0.875 0.125
Au 0.000 0.000 0.500
Au 0.125 0.750 0.375
Ba 0.750 0.875 0.625
Ba 0.625 0.375 0.750
Ba 0.625 0.250 0.375
Ba 0.125 0.875 0.750
Ba 0.375 0.625 0.250
Ba 0.125 0.250 0.875
Ba 0.875 0.125 0.250
Ba 0.250 0.625 0.875
Ba 0.375 0.750 0.625
Ba 0.750 0.375 0.125
Ba 0.875 0.750 0.125
Ba 0.250 0.125 0.375